[1]
This record from Alexandria describes crystalline CaMg4Cu8 at its relaxed geometry. The functional is PBE-GGA.

Computed properties:
The energy above the most stable polymorph in this dataset comes out at 0.079 eV/atom. The density of states at the Fermi level comes out at 3.7 states/eV/f.u. As for the formation energy: 0.04 eV per atom. The space-group type is I4/mmm, No. 139. The calculation puts the total magnetization at 0.00 μB per formula unit. As for the total energy: -3.124 eV/atom.

Geometry as extended XYZ:
```
13
Lattice="-4.376 4.376 2.757 4.376 -4.376 2.757 4.376 4.376 -2.757" Properties=species:S:1:pos:R:3 pbc="T T T"
Ca 0.000 0.000 0.000
Mg 2.188 2.188 -1.379
Mg 2.188 -2.188 1.379
Mg -2.188 2.188 1.379
Mg 2.188 2.188 1.379
Cu 3.153 0.000 0.000
Cu 5.599 0.000 0.000
Cu 4.376 2.492 0.000
Cu 0.000 3.153 0.000
Cu 2.492 4.376 0.000
Cu 1.884 0.000 2.757
Cu 0.000 5.599 0.000
Cu 0.000 1.884 2.757
```



[2]
This record from Alexandria describes crystalline CaMg2Cu2 at its relaxed geometry. The functional is PBE-GGA.

Computed properties:
The energy above the most stable polymorph in this dataset comes out at 0.143 eV/atom. The density of states at the Fermi level comes out at 2.9 states/eV/f.u. As for the formation energy: 0.03 eV per atom. The space-group type is I4/mmm, No. 139. The calculation puts the total magnetization at 0.00 μB per formula unit. As for the total energy: -2.644 eV/atom.

Geometry as extended XYZ:
```
5
Lattice="-2.350 2.350 4.922 2.350 -2.350 4.922 2.350 2.350 -4.922" Properties=species:S:1:pos:R:3 pbc="T T T"
Ca 0.000 0.000 0.000
Mg 0.000 0.000 3.487
Mg 0.000 0.000 6.358
Cu 2.350 0.000 2.461
Cu 0.000 2.350 2.461
```



Copy entry 2 word for word.
This record from Alexandria describes crystalline CaMg2Cu2 at its relaxed geometry. The functional is PBE-GGA.

Computed properties:
The energy above the most stable polymorph in this dataset comes out at 0.143 eV/atom. The density of states at the Fermi level comes out at 2.9 states/eV/f.u. As for the formation energy: 0.03 eV per atom. The space-group type is I4/mmm, No. 139. The calculation puts the total magnetization at 0.00 μB per formula unit. As for the total energy: -2.644 eV/atom.

Geometry as extended XYZ:
```
5
Lattice="-2.350 2.350 4.922 2.350 -2.350 4.922 2.350 2.350 -4.922" Properties=species:S:1:pos:R:3 pbc="T T T"
Ca 0.000 0.000 0.000
Mg 0.000 0.000 3.487
Mg 0.000 0.000 6.358
Cu 2.350 0.000 2.461
Cu 0.000 2.350 2.461
```